Li2Ti2O5: optimized geometry, PBEsol.

Lattice parameters (Å, degrees): 5.230 8.412 11.625 111.55 90.00 90.00
Sites, in units of the cell vectors:
Li (0.170, 0.285, 0.189)
O (0.216, 0.701, 0.820)
Ti (0.321, 0.489, 0.779)
O (0.670, 0.484, 0.750)
Li (0.670, 0.215, 0.311)
O (0.746, 0.109, 0.609)
O (0.254, 0.891, 0.391)
O (0.797, 0.865, 0.984)
O (0.297, 0.635, 0.516)
O (0.284, 0.201, 0.320)
O (0.668, 0.136, 0.871)
Ti (0.319, 0.177, 0.889)
O (0.716, 0.799, 0.680)
O (0.246, 0.391, 0.891)
Ti (0.821, 0.011, 0.721)
O (0.703, 0.365, 0.484)
O (0.784, 0.299, 0.180)
Li (0.821, 0.118, 0.020)
O (0.203, 0.135, 0.016)
O (0.832, 0.636, 0.371)
O (0.170, 0.016, 0.750)
O (0.830, 0.984, 0.250)
Ti (0.819, 0.323, 0.611)
Li (0.179, 0.882, 0.980)
O (0.330, 0.516, 0.250)
Ti (0.679, 0.511, 0.221)
Ti (0.179, 0.989, 0.279)
Li (0.830, 0.715, 0.811)
O (0.332, 0.864, 0.129)
Ti (0.181, 0.677, 0.389)
Li (0.321, 0.382, 0.480)
O (0.168, 0.364, 0.629)
Li (0.330, 0.785, 0.689)
O (0.754, 0.609, 0.109)
Ti (0.681, 0.823, 0.111)
Li (0.679, 0.618, 0.520)

Values from the calculation:
V (Å³ per atom): 13.21
Uncorrected formation energy (eV per atom): -2.69
Raw total energy (Ha/atom): -0.2901
Crystal system: monoclinic
Energy above the lowest structure with this stoichiometry (meV per atom): 22
Space-group type: P2_1/c